1.
## B2SbTe (PBE-GGA)

Data for a relaxed structure of B2SbTe.

Results
For the energy above the most stable polymorph in this dataset, the calculation gives 0.0000 eV per atom. The formation energy without anion corrections comes out at 0.75 eV per atom. The value obtained for the total magnetization is 0.00 μB per formula unit. The total energy is -35.24 eV per cell. The volume comes out at 19.044 Å³ per atom. Its density is 5.9 Mg/m³.

abc: 5.3175 5.3175 6.5704
angles: 66.13 66.13 90.00
With the nearest neighbours (Å) after each atom.
Fractional coordinates of all 8 atoms:
Sb (0.5000, 0.5000, 0.0000)  4 B 2.28
Sb (0.2500, 0.7500, 0.5000)  4 B 2.28
B (0.6155, 0.1250, 0.2500)  2 Sb 2.28, 2 Te 2.34
B (0.1345, 0.6250, 0.2500)  2 Sb 2.28, 2 Te 2.34
B (0.3750, 0.3845, 0.7500)  2 Sb 2.28, 2 Te 2.34
B (0.8750, 0.8655, 0.7500)  2 Sb 2.28, 2 Te 2.34
Te (0.0000, 0.0000, 0.0000)  4 B 2.34
Te (0.7500, 0.2500, 0.5000)  4 B 2.34

***

2.
## ZnPH5C2N4O3 (PBE-GGA)

Data for a relaxed structure of ZnPH5C2N4O3.

Results
For the energy above the most stable polymorph in this dataset, the calculation gives 0.0055 eV per atom. The value obtained for the total magnetization is 0.00 μB per formula unit. The total energy is -404.73 eV per cell. The volume comes out at 12.347 Å³ per atom. Its density is 1.9 Mg/m³.

abc: 9.3054 9.3054 10.5112
angles: 71.66 71.66 70.12
With the nearest neighbours (Å) after each atom.
Fractional coordinates of all 64 atoms:
Zn (0.4360, 0.7171, 0.0481)  3 O 1.95-2.01, 1 N 1.96
Zn (0.2829, 0.5640, 0.4519)  3 O 1.95-2.01, 1 N 1.96
Zn (0.7171, 0.4360, 0.5481)  3 O 1.95-2.01, 1 N 1.96
Zn (0.5640, 0.2829, 0.9519)  3 O 1.95-2.01, 1 N 1.96
P (0.6025, 0.6611, 0.2836)  1 H 1.41, 3 O 1.54-1.55
P (0.6611, 0.6025, 0.7836)  1 H 1.41, 3 O 1.54-1.55
P (0.3389, 0.3975, 0.2164)  1 H 1.41, 3 O 1.54-1.55
P (0.3975, 0.3389, 0.7164)  1 H 1.41, 3 O 1.54-1.55
H (0.9260, 0.8412, 0.1046)  1 N 1.01
H (0.6538, 0.7950, 0.2629)  1 P 1.41
H (0.8412, 0.9260, 0.6046)  1 N 1.01
H (0.3105, 0.8974, 0.3974)  1 N 1.03
H (0.8685, 0.3756, 0.2180)  1 N 1.02
H (0.7950, 0.6538, 0.7629)  1 P 1.41
H (0.7917, 0.4401, 0.0748)  1 N 1.02
H (0.8974, 0.3105, 0.8974)  1 N 1.03
H (0.3756, 0.8685, 0.7180)  1 N 1.02
H (0.5599, 0.2083, 0.4252)  1 N 1.02
H (0.4401, 0.7917, 0.5748)  1 N 1.02
H (0.6244, 0.1315, 0.2820)  1 N 1.02
H (0.1026, 0.6895, 0.1026)  1 N 1.03
H (0.2083, 0.5599, 0.9252)  1 N 1.02
H (0.2050, 0.3462, 0.2371)  1 P 1.41
H (0.1315, 0.6244, 0.7820)  1 N 1.02
H (0.6895, 0.1026, 0.6026)  1 N 1.03
H (0.1588, 0.0740, 0.3954)  1 N 1.01
H (0.3462, 0.2050, 0.7371)  1 P 1.41
H (0.0740, 0.1588, 0.8954)  1 N 1.01
C (0.9632, 0.7998, 0.4027)  2 N 1.18-1.28
C (0.7998, 0.9632, 0.9027)  2 N 1.18-1.28
C (0.9888, 0.2515, 0.0668)  3 N 1.33-1.36
C (0.7485, 0.0112, 0.4332)  3 N 1.33-1.36
C (0.2515, 0.9888, 0.5668)  3 N 1.33-1.36
C (0.0112, 0.7485, 0.9332)  3 N 1.33-1.36
C (0.2002, 0.0368, 0.0973)  2 N 1.18-1.28
C (0.0368, 0.2002, 0.5973)  2 N 1.18-1.28
N (0.8454, 0.9034, 0.3605)  2 C 1.28-1.36
N (0.9034, 0.8454, 0.8605)  2 C 1.28-1.36
N (0.2393, 0.9882, 0.4431)  2 H 1.01-1.03
N (0.8782, 0.3646, 0.1221)  2 H 1.02
N (0.2995, 0.9253, 0.0681)  1 C 1.18
N (0.9882, 0.2393, 0.9431)  2 H 1.01-1.03
N (0.0747, 0.7005, 0.4319)  1 C 1.18
N (0.3646, 0.8782, 0.6221)  2 H 1.02
N (0.6354, 0.1218, 0.3779)  2 H 1.02
N (0.9253, 0.2995, 0.5681)  1 C 1.18
N (0.0118, 0.7607, 0.0569)  2 H 1.01-1.03
N (0.7005, 0.0747, 0.9319)  1 C 1.18
N (0.1218, 0.6354, 0.8779)  2 H 1.02
N (0.7607, 0.0118, 0.5569)  2 H 1.01-1.03
N (0.0966, 0.1546, 0.1395)  2 C 1.28-1.36
N (0.1546, 0.0966, 0.6395)  2 C 1.28-1.36
O (0.7192, 0.5182, 0.3520)  1 P 1.54
O (0.4344, 0.6975, 0.3765)  1 P 1.55
O (0.6084, 0.6441, 0.1410)  1 P 1.54
O (0.5182, 0.7192, 0.8520)  1 P 1.54
O (0.6975, 0.4344, 0.8765)  1 P 1.55
O (0.6441, 0.6084, 0.6410)  1 P 1.54
O (0.3559, 0.3916, 0.3590)  1 P 1.54
O (0.3025, 0.5656, 0.1235)  1 P 1.55
O (0.4818, 0.2808, 0.1480)  1 P 1.54
O (0.3916, 0.3559, 0.8590)  1 P 1.54
O (0.5656, 0.3025, 0.6235)  1 P 1.55
O (0.2808, 0.4818, 0.6480)  1 P 1.54

***

3.
## ZnTe2Pt (PBE-GGA)

Data for a relaxed structure of ZnTe2Pt.

Results
The formation energy without anion corrections comes out at 0.18 eV per atom. The value obtained for the total magnetization is 0.00 μB per formula unit. The total energy is -12.89 eV per cell. The volume comes out at 24.469 Å³ per atom. Its density is 8.7 Mg/m³.

abc: 7.1000 7.1000 7.1000
angles: 148.41 148.41 45.27
With the nearest neighbours (Å) after each atom.
Fractional coordinates of all 4 atoms:
Pt (0.7500, 0.2500, 0.5000)  4 Te 2.73
Te (0.0000, 0.0000, 0.0000)  4 Zn 2.73
Te (0.2500, 0.7500, 0.5000)  4 Pt 2.73
Zn (0.5000, 0.5000, 0.0000)  4 Te 2.73

***

4.
## CoTcIr2 (PBE-GGA)

Data for a relaxed structure of CoTcIr2.

Results
For the energy above the most stable polymorph in this dataset, the calculation gives 0.3772 eV per atom. The energy relative to the elements is 0.29 eV per atom. The value obtained for the total magnetization is 2.81 μB per formula unit. The total energy is -34.03 eV per cell. The volume comes out at 14.232 Å³ per atom. Its density is 15.8 Mg/m³.

abc: 2.6788 2.6788 9.0056
angles: 90.00 90.00 118.25
With the nearest neighbours (Å) after each atom.
Fractional coordinates of all 4 atoms:
Co (0.5000, 0.5000, 0.7500)  4 Ir 2.58, 6 Co 2.68-2.75
Ir (0.0000, 0.0000, 0.9924)  2 Co 2.58, 6 Ir 2.68-2.75, 2 Tc 2.70
Ir (0.0000, 0.0000, 0.5076)  2 Co 2.58, 6 Ir 2.68-2.75, 2 Tc 2.70
Tc (0.5000, 0.5000, 0.2500)  6 Tc 2.68-2.75, 4 Ir 2.70

***

5.
## Tb5Pr3Dy (PBE-GGA)

Data for a relaxed structure of Tb5Pr3Dy.

Results
The energy relative to the elements is 0.51 eV per atom. The value obtained for the total magnetization is 0.00 μB per formula unit. The total energy is -74.94 eV per cell. The volume comes out at 37.573 Å³ per atom. Its density is 6.8 Mg/m³.

abc: 9.6085 9.6085 11.7689
angles: 52.42 52.42 73.26
With the nearest neighbours (Å) after each atom.
Fractional coordinates of all 18 atoms:
Tb (0.8437, 0.3423, 0.2495)  2 Tb 3.31-3.36, 2 Pr 3.53-3.63
Tb (0.2557, 0.7443, 0.0000)  1 Pr 2.93
Tb (0.8167, 0.8167, 0.9602)  3 Pr 3.20-3.39, 3 Tb 3.30-3.31, 1 Dy 3.39
Tb (0.4943, 0.4943, 0.2264)  3 Pr 3.23-3.42, 3 Tb 3.30-3.36, 1 Dy 3.44
Tb (0.5057, 0.5057, 0.7736)  3 Pr 3.23-3.42, 3 Tb 3.30-3.36, 1 Dy 3.44
Tb (0.1833, 0.1833, 0.0398)  3 Pr 3.20-3.39, 3 Tb 3.30-3.31, 1 Dy 3.39
Tb (0.3423, 0.8437, 0.2495)  2 Tb 3.31-3.36, 2 Pr 3.53-3.63
Tb (0.7443, 0.2557, 0.0000)  1 Pr 2.93
Tb (0.1563, 0.6577, 0.7505)  2 Tb 3.31-3.36, 2 Pr 3.53-3.63
Tb (0.6577, 0.1563, 0.7505)  2 Tb 3.31-3.36, 2 Pr 3.53-3.63
Pr (0.6958, 0.6958, 0.8114)  1 Pr 3.05, 3 Tb 3.23-3.39
Pr (0.6625, 0.6625, 0.3589)  1 Dy 3.23, 2 Tb 3.27-3.42, 2 Pr 3.30-3.39
Pr (0.0000, 0.0000, 0.0000)  4 Tb 2.93-3.20
Pr (0.0000, 0.0000, 0.5000)  2 Pr 3.05, 2 Dy 3.34
Pr (0.3042, 0.3042, 0.1886)  1 Pr 3.05, 3 Tb 3.23-3.39
Pr (0.3375, 0.3375, 0.6411)  1 Dy 3.23, 2 Tb 3.27-3.42, 2 Pr 3.30-3.39
Dy (0.1536, 0.1536, 0.5993)  4 Pr 3.23-3.42, 2 Tb 3.39-3.44
Dy (0.8464, 0.8464, 0.4007)  4 Pr 3.23-3.42, 2 Tb 3.39-3.44

***

6.
## AcLa6Pr12 (PBE-GGA)

Data for a relaxed structure of AcLa6Pr12.

Results
For the energy above the most stable polymorph in this dataset, the calculation gives 0.0559 eV per atom. The energy relative to the elements is 0.17 eV per atom. The value obtained for the total magnetization is 0.00 μB per formula unit. The total energy is -87.83 eV per cell. The volume comes out at 37.917 Å³ per atom. Its density is 6.3 Mg/m³.

abc: 9.1213 9.1213 9.1213
angles: 99.90 99.90 99.90
With the nearest neighbours (Å) after each atom.
Fractional coordinates of all 19 atoms:
Ac (0.0000, 0.0000, 0.0000)  6 La 3.63, 6 Pr 4.02
La (0.9039, 0.3463, 0.9039)  1 La 3.09
La (0.9039, 0.9039, 0.3463)  1 La 3.09
La (0.3463, 0.9039, 0.9039)  1 La 3.09
La (0.0961, 0.0961, 0.6537)  1 La 3.09
La (0.0961, 0.6537, 0.0961)  1 La 3.09
La (0.6537, 0.0961, 0.0961)  1 La 3.09
Pr (0.7572, 0.2428, 0.5000)  6 Pr 3.51-3.64, 4 La 3.60-3.73
Pr (0.3537, 0.0814, 0.3537)  6 Pr 3.51-3.80, 2 La 3.90
Pr (0.3537, 0.3537, 0.0814)  6 Pr 3.51-3.80, 2 La 3.90
Pr (0.9186, 0.6463, 0.6463)  6 Pr 3.51-3.80, 2 La 3.90
Pr (0.6463, 0.6463, 0.9186)  6 Pr 3.51-3.80, 2 La 3.90
Pr (0.6463, 0.9186, 0.6463)  6 Pr 3.51-3.80, 2 La 3.90
Pr (0.5000, 0.7572, 0.2428)  6 Pr 3.51-3.64, 4 La 3.60-3.73
Pr (0.2428, 0.5000, 0.7572)  6 Pr 3.51-3.64, 4 La 3.60-3.73
Pr (0.2428, 0.7572, 0.5000)  6 Pr 3.51-3.64, 4 La 3.60-3.73
Pr (0.5000, 0.2428, 0.7572)  6 Pr 3.51-3.64, 4 La 3.60-3.73
Pr (0.7572, 0.5000, 0.2428)  6 Pr 3.51-3.64, 4 La 3.60-3.73
Pr (0.0814, 0.3537, 0.3537)  6 Pr 3.51-3.80, 2 La 3.90

***

7.
## SrPPd4 (PBE-GGA)

Data for a relaxed structure of SrPPd4.

Results
For the energy above the most stable polymorph in this dataset, the calculation gives 0.0000 eV per atom. The energy relative to the elements is -0.57 eV per atom. The value obtained for the total magnetization is 0.00 μB per formula unit. The total energy is -62.61 eV per cell. The volume comes out at 18.003 Å³ per atom. Its density is 8.4 Mg/m³.

abc: 4.0719 6.7180 8.1558
angles: 90.00 104.46 90.00
With the nearest neighbours (Å) after each atom.
Fractional coordinates of all 12 atoms:
Sr (0.1041, 0.2500, 0.2082)  11 Pd 3.03-3.37, 2 P 3.29
Sr (0.8959, 0.7500, 0.7918)  11 Pd 3.03-3.37, 2 P 3.29
P (0.2321, 0.7500, 0.4642)  7 Pd 2.28-2.53
P (0.7679, 0.2500, 0.5358)  7 Pd 2.28-2.53
Pd (0.5000, 0.5000, 0.0000)  6 Pd 2.98-3.03, 4 Sr 3.11
Pd (0.5000, 0.0000, 0.0000)  6 Pd 2.98-3.03, 4 Sr 3.11
Pd (0.6907, 0.9522, 0.3814)  3 P 2.34-2.53
Pd (0.3093, 0.0478, 0.6186)  3 P 2.34-2.53
Pd (0.3093, 0.4522, 0.6186)  3 P 2.34-2.53
Pd (0.6907, 0.5478, 0.3814)  3 P 2.34-2.53
Pd (0.0875, 0.7500, 0.1751)  1 P 2.28
Pd (0.9125, 0.2500, 0.8249)  1 P 2.28

***

8.
## LiCd2GeSe4 (PBE-GGA)

Data for a relaxed structure of LiCd2GeSe4.

Results
The formation energy without anion corrections comes out at -0.58 eV per atom. The value obtained for the total magnetization is 0.00 μB per formula unit. The total energy is -53.84 eV per cell. The volume comes out at 27.755 Å³ per atom. Its density is 4.6 Mg/m³.

abc: 6.9733 7.4176 8.5854
angles: 90.00 90.00 90.00
With the nearest neighbours (Å) after each atom.
Fractional coordinates of all 16 atoms:
Li (0.9994, 0.1556, 0.5000)  4 Se 2.54-2.57
Li (0.4994, 0.8444, 0.0000)  4 Se 2.54-2.57
Cd (0.5009, 0.3293, 0.2529)  4 Se 2.68-2.69
Cd (0.5009, 0.3293, 0.7471)  4 Se 2.68-2.69
Cd (0.0009, 0.6707, 0.7529)  4 Se 2.68-2.69
Cd (0.0009, 0.6707, 0.2471)  4 Se 2.68-2.69
Ge (0.4966, 0.8234, 0.5000)  4 Se 2.55-2.58
Ge (0.9966, 0.1766, 0.0000)  4 Se 2.55-2.58
Se (0.3621, 0.1618, 0.0000)  1 Li 2.54, 1 Ge 2.55, 2 Cd 2.68
Se (0.8621, 0.8382, 0.5000)  1 Li 2.54, 1 Ge 2.55, 2 Cd 2.68
Se (0.3677, 0.1454, 0.5000)  1 Ge 2.55, 1 Li 2.57, 2 Cd 2.69
Se (0.8677, 0.8546, 0.0000)  1 Ge 2.55, 1 Li 2.57, 2 Cd 2.69
Se (0.3862, 0.6750, 0.7559)  1 Li 2.57, 1 Ge 2.58, 2 Cd 2.69
Se (0.8862, 0.3250, 0.2559)  1 Li 2.57, 1 Ge 2.58, 2 Cd 2.69
Se (0.8862, 0.3250, 0.7441)  1 Li 2.57, 1 Ge 2.58, 2 Cd 2.69
Se (0.3862, 0.6750, 0.2441)  1 Li 2.57, 1 Ge 2.58, 2 Cd 2.69

***

9.
## Si2PbAu4 (PBE-GGA)

Data for a relaxed structure of Si2PbAu4.

Results
The formation energy without anion corrections comes out at -0.02 eV per atom. The value obtained for the total magnetization is 0.00 μB per formula unit. The total energy is -27.81 eV per cell. The volume comes out at 19.727 Å³ per atom. Its density is 12.6 Mg/m³.

abc: 4.6905 4.6042 6.7961
angles: 109.80 90.00 90.00
With the nearest neighbours (Å) after each atom.
Fractional coordinates of all 7 atoms:
Si (0.5000, 0.5943, 0.1886)  1 Si 2.41, 4 Au 2.51-2.53
Si (0.5000, 0.4057, 0.8114)  1 Si 2.41, 4 Au 2.51-2.53
Pb (0.0000, 0.0000, 0.0000)  8 Au 3.15-3.22, 8 Si 3.50
Au (0.5000, 0.8270, 0.6541)  2 Si 2.51
Au (0.0000, 0.6684, 0.3367)  2 Si 2.53
Au (0.5000, 0.1730, 0.3459)  2 Si 2.51
Au (0.0000, 0.3316, 0.6633)  2 Si 2.53

***

10.
## Re2SeCl (PBE-GGA)

Data for a relaxed structure of Re2SeCl.

Results
For the energy above the most stable polymorph in this dataset, the calculation gives 1.0871 eV per atom. The formation energy without anion corrections comes out at 1.07 eV per atom. The value obtained for the total magnetization is 0.00 μB per formula unit. The total energy is -25.94 eV per cell. The volume comes out at 16.550 Å³ per atom. Its density is 12.2 Mg/m³.

abc: 5.5564 5.5564 2.7162
angles: 69.00 69.00 103.93
With the nearest neighbours (Å) after each atom.
Fractional coordinates of all 4 atoms:
Cl (0.0000, 0.5000, 0.5000)  4 Re 2.62, 2 Cl 2.72, 2 Se 2.88
Re (0.0000, 0.0000, 0.0000)  2 Se 2.62, 2 Cl 2.62, 4 Re 2.72-2.88
Re (0.5000, 0.5000, 0.0000)  2 Cl 2.62, 2 Se 2.62, 4 Re 2.72-2.88
Se (0.5000, 0.0000, 0.5000)  4 Re 2.62, 2 Se 2.72, 2 Cl 2.88